A relaxed MgGa2 crystal, computed with GGA-PBEsol.

Summary:
**Formation enthalpy at 0 K**: -79.3 meV per atom
**DOS(E_F)**: 2.16 states/eV/cell

Structure (POSCAR):
```
MgGa2
1.0
2.634 1.521 4.618
-2.634 1.521 4.618
0.000 -3.042 4.618
Mg Ga
2 4
Direct
0.167 0.167 0.167
0.833 0.833 0.833
0.000 0.665 0.335
0.335 0.000 0.665
0.500 0.500 0.500
0.665 0.335 0.000
```

=====

A relaxed Ta2SiN crystal, computed with GGA-PBEsol.

Summary:
**DOS(E_F)**: 5.03 states/eV/cell
**Raw formation energy**: -80.3 meV/atom

Structure (POSCAR):
```
Ta2SiN
1.0
-2.541 2.541 5.320
2.541 -2.541 5.320
2.541 2.541 -5.320
Ta Si N
4 2 2
Direct
0.039 0.625 0.914
0.375 0.289 0.414
0.711 0.125 0.086
0.875 0.961 0.586
0.250 0.750 0.500
0.500 0.500 0.000
0.000 0.000 0.000
0.750 0.250 0.500
```

=====

A relaxed TlHgW2 crystal, computed with GGA-PBEsol.

Summary:
**Formation enthalpy at 0 K**: 961.0 meV per atom
**DOS(E_F)**: 2.45 states/eV/cell
**Excess energy over the best structure of this formula in the dataset**: 0 meV per atom

Structure (POSCAR):
```
TlHgW2
1.0
1.578 -2.392 0.000
1.578 2.392 0.000
0.000 0.000 9.630
Tl Hg W
1 1 2
Direct
0.000 0.000 0.000
0.000 0.000 0.500
0.500 0.500 0.251
0.500 0.500 0.749
```

=====

A relaxed MnSbSe2Br crystal, computed with GGA-PBEsol.

Summary:
**DOS(E_F)**: 2.23 states/eV/cell
**Raw formation energy**: 529.6 meV/atom
**Excess energy over the best structure of this formula in the dataset**: 919 meV per atom

Structure (POSCAR):
```
MnSbSe2Br
1.0
5.309 0.000 0.000
0.000 5.309 0.000
0.000 0.000 5.298
Mn Sb Se Br
1 1 2 1
Direct
0.000 0.000 0.000
0.500 0.500 0.500
0.000 0.500 0.500
0.500 0.000 0.500
0.500 0.500 0.000
```

=====

A relaxed ZnPt2Cl crystal, computed with GGA-PBEsol.

Summary:
**DOS(E_F)**: 2.50 states/eV/cell
**Raw formation energy**: 105.3 meV/atom
**Excess energy over the best structure of this formula in the dataset**: 95 meV per atom

Structure (POSCAR):
```
ZnPt2Cl
1.0
2.830 0.000 0.000
0.000 4.385 0.000
0.000 0.000 4.950
Zn Pt Cl
1 2 1
Direct
0.000 0.000 0.000
0.000 0.500 0.500
0.500 0.500 0.000
0.500 0.000 0.500
```

=====

A relaxed LiZnPb crystal, computed with GGA-PBEsol.

Summary:
**Formation enthalpy at 0 K**: -91.3 meV per atom
**DOS(E_F)**: 1.18 states/eV/cell

Structure (POSCAR):
```
LiZnPb
1.0
0.000 3.186 3.186
3.186 0.000 3.186
3.186 3.186 0.000
Li Zn Pb
1 1 1
Direct
0.000 0.000 0.000
0.250 0.250 0.250
0.500 0.500 0.500
```

=====

no.,calculated volume (Å³ per cell)
1,111
2,137
3,73
4,149
5,61
6,65